18
Lattice="5.353 0.000 0.000 -2.677 4.636 0.000 0.000 0.000 9.184" Properties=species:S:1:pos:R:3 comment="LiTaSbO6 (PBE, relaxed)" dft_energy_ev_per_atom=-7.09 n_ef_per_ev_atom=0.36 e_form_raw_ev_per_fu=-16.21 pbc="T T T"
Li 0.000 0.000 0.000
Li 0.000 0.000 4.592
Ta 0.000 3.091 2.296
Ta 2.677 1.545 6.888
Sb 0.000 3.091 6.888
Sb 2.677 1.545 2.296
O -0.972 1.688 1.228
O 4.378 1.686 5.819
O -1.701 2.950 3.364
O 3.649 2.948 7.956
O -0.729 4.634 1.228
O 1.948 0.002 5.819
O 0.972 1.688 3.364
O 0.976 1.686 7.956
O 0.729 4.634 3.364
O 3.406 0.002 7.956
O 1.701 2.950 1.228
O 1.705 2.948 5.819